(1)
Density functional theory data (PBE) for CaPtO4 after structural relaxation.

a = 5.5323 Å, b = 5.2336 Å, c = 5.1445 Å
α = 90.00°, β = 95.71°, γ = 90.00°
Fractional positions:
Ca 0.0000 0.0000 0.0000
Ca 0.0000 0.5000 0.5000
Pt 0.5000 0.0000 0.5000
Pt 0.5000 0.5000 0.0000
O 0.1794 0.1308 0.4095
O 0.1794 0.3692 0.9095
O 0.3739 0.6788 0.3095
O 0.3739 0.8212 0.8095
O 0.6261 0.1788 0.1905
O 0.6261 0.3212 0.6905
O 0.8206 0.6308 0.0905
O 0.8206 0.8692 0.5905

Summary:
The uncorrected formation energy is -1.148 eV/atom. The space group is P2_1/c.


(2)
Density functional theory data (PBE) for Ca12Pt3O5 after structural relaxation.

a = 13.3388 Å, b = 13.3388 Å, c = 13.3388 Å
α = 109.47°, β = 109.47°, γ = 109.47°
Fractional positions:
Ca 0.0198 0.2018 0.1212
Ca 0.0198 0.3179 0.8986
Ca 0.0806 0.7018 0.6821
Ca 0.0806 0.8788 0.3986
Ca 0.1014 0.6212 0.4194
Ca 0.1014 0.9802 0.6821
Ca 0.1212 0.0198 0.2018
Ca 0.1212 0.6014 0.9194
Ca 0.1821 0.2018 0.5806
Ca 0.1821 0.4802 0.6014
Ca 0.2018 0.1212 0.0198
Ca 0.2018 0.5806 0.1821
Ca 0.2982 0.3179 0.9194
Ca 0.2982 0.4802 0.3788
Ca 0.3179 0.8986 0.0198
Ca 0.3179 0.9194 0.2982
Ca 0.3788 0.2982 0.4802
Ca 0.3788 0.5806 0.8986
Ca 0.3986 0.0806 0.8788
Ca 0.3986 0.8179 0.5198
Ca 0.4194 0.1014 0.6212
Ca 0.4194 0.8179 0.7982
Ca 0.4802 0.3788 0.2982
Ca 0.4802 0.6014 0.1821
Ca 0.5198 0.3986 0.8179
Ca 0.5198 0.6212 0.7018
Ca 0.5806 0.1821 0.2018
Ca 0.5806 0.8986 0.3788
Ca 0.6014 0.1821 0.4802
Ca 0.6014 0.9194 0.1212
Ca 0.6212 0.4194 0.1014
Ca 0.6212 0.7018 0.5198
Ca 0.6821 0.0806 0.7018
Ca 0.6821 0.1014 0.9802
Ca 0.7018 0.5198 0.6212
Ca 0.7018 0.6821 0.0806
Ca 0.7982 0.4194 0.8179
Ca 0.7982 0.8788 0.9802
Ca 0.8179 0.5198 0.3986
Ca 0.8179 0.7982 0.4194
Ca 0.8788 0.3986 0.0806
Ca 0.8788 0.9802 0.7982
Ca 0.8986 0.0198 0.3179
Ca 0.8986 0.3788 0.5806
Ca 0.9194 0.1212 0.6014
Ca 0.9194 0.2982 0.3179
Ca 0.9802 0.6821 0.1014
Ca 0.9802 0.7982 0.8788
Pt 0.1250 0.2500 0.3750
Pt 0.1250 0.3750 0.7500
Pt 0.2500 0.3750 0.1250
Pt 0.2500 0.8750 0.6250
Pt 0.3750 0.1250 0.2500
Pt 0.3750 0.7500 0.1250
Pt 0.6250 0.2500 0.8750
Pt 0.6250 0.8750 0.7500
Pt 0.7500 0.1250 0.3750
Pt 0.7500 0.6250 0.8750
Pt 0.8750 0.6250 0.2500
Pt 0.8750 0.7500 0.6250
O 0.0000 0.0000 0.0000
O 0.0000 0.0000 0.5000
O 0.0000 0.5000 0.0000
O 0.0000 0.5000 0.5000
O 0.1250 0.7500 0.8750
O 0.1250 0.8750 0.2500
O 0.2500 0.1250 0.8750
O 0.2500 0.6250 0.3750
O 0.3750 0.2500 0.6250
O 0.3750 0.6250 0.7500
O 0.5000 0.0000 0.0000
O 0.5000 0.0000 0.5000
O 0.5000 0.5000 0.0000
O 0.5000 0.5000 0.5000
O 0.6250 0.3750 0.2500
O 0.6250 0.7500 0.3750
O 0.7500 0.3750 0.6250
O 0.7500 0.8750 0.1250
O 0.8750 0.1250 0.7500
O 0.8750 0.2500 0.1250

Summary:
The uncorrected formation energy is -1.671 eV/atom. The space group is Ia-3d.


(3)
Density functional theory data (PBE) for Ca2PuPtO6 after structural relaxation.

a = 6.2374 Å, b = 6.2374 Å, c = 5.1790 Å
α = 112.79°, β = 112.79°, γ = 53.46°
Fractional positions:
Ca 0.2420 0.2420 0.1950
Ca 0.7580 0.7580 0.8050
Pu 0.5000 0.5000 0.0000
Pt 0.0000 0.0000 0.5000
O 0.1506 0.6702 0.1817
O 0.3268 0.3268 0.6826
O 0.3298 0.8494 0.8183
O 0.6702 0.1506 0.1817
O 0.6732 0.6732 0.3174
O 0.8494 0.3298 0.8183

Summary:
The uncorrected formation energy is -2.369 eV/atom. The space group is C2/m.


(4)
Density functional theory data (PBE) for CaPuPtO6 after structural relaxation.

a = 5.3180 Å, b = 5.3180 Å, c = 10.4320 Å
α = 90.00°, β = 90.00°, γ = 120.00°
Fractional positions:
Ca 0.0000 0.0000 0.0000
Ca 0.0000 0.0000 0.5000
Pu 0.3333 0.6667 0.2500
Pu 0.6667 0.3333 0.7500
Pt 0.3333 0.6667 0.7500
Pt 0.6667 0.3333 0.2500
O 0.0070 0.3560 0.6410
O 0.0070 0.6510 0.8590
O 0.3490 0.3560 0.8590
O 0.3490 0.9930 0.6410
O 0.3560 0.0070 0.1410
O 0.3560 0.3490 0.3590
O 0.6440 0.6510 0.6410
O 0.6440 0.9930 0.8590
O 0.6510 0.0070 0.3590
O 0.6510 0.6440 0.1410
O 0.9930 0.3490 0.1410
O 0.9930 0.6440 0.3590

Summary:
The uncorrected formation energy is -2.004 eV/atom. The space group is P-31c.


(5)
Density functional theory data (PBE) for Rb3Ca2PtO6 after structural relaxation.

a = 5.9585 Å, b = 5.9585 Å, c = 6.6965 Å
α = 98.54°, β = 98.54°, γ = 119.93°
Fractional positions:
Rb 0.0000 0.0000 0.0000
Rb 0.3319 0.6681 0.0000
Rb 0.6681 0.3319 0.0000
Ca 0.1664 0.8336 0.5000
Ca 0.8336 0.1664 0.5000
Pt 0.5000 0.5000 0.5000
O 0.1482 0.4409 0.3245
O 0.2660 0.2660 0.6780
O 0.4409 0.1482 0.3245
O 0.5591 0.8518 0.6755
O 0.7340 0.7340 0.3220
O 0.8518 0.5591 0.6755

Summary:
The uncorrected formation energy is -1.617 eV/atom. The space group is C2/m.


(6)
Density functional theory data (PBE) for Rb2CaPtO4 after structural relaxation.

a = 13.1948 Å, b = 11.5163 Å, c = 7.8099 Å
α = 83.77°, β = 60.19°, γ = 36.04°
Fractional positions:
Rb 0.0607 0.0607 0.6893
Rb 0.3107 0.3107 0.9393
Rb 0.6893 0.6893 0.0607
Rb 0.9393 0.9393 0.3107
Ca 0.1250 0.1250 0.1250
Ca 0.8750 0.8750 0.8750
Pt 0.3750 0.3750 0.3750
Pt 0.6250 0.6250 0.6250
O 0.0553 0.6933 0.5015
O 0.2499 0.5015 0.6933
O 0.3067 0.9447 0.7501
O 0.4985 0.7501 0.9447
O 0.5015 0.2499 0.0553
O 0.6933 0.0553 0.2499
O 0.7501 0.4985 0.3067
O 0.9447 0.3067 0.4985

Summary:
The uncorrected formation energy is -1.225 eV/atom. The space group is Fddd.


> Number 4 is which compound?

CaPuPtO6


What did the sixth record say?
Density functional theory data (PBE) for Rb2CaPtO4 after structural relaxation.

a = 13.1948 Å, b = 11.5163 Å, c = 7.8099 Å
α = 83.77°, β = 60.19°, γ = 36.04°
Fractional positions:
Rb 0.0607 0.0607 0.6893
Rb 0.3107 0.3107 0.9393
Rb 0.6893 0.6893 0.0607
Rb 0.9393 0.9393 0.3107
Ca 0.1250 0.1250 0.1250
Ca 0.8750 0.8750 0.8750
Pt 0.3750 0.3750 0.3750
Pt 0.6250 0.6250 0.6250
O 0.0553 0.6933 0.5015
O 0.2499 0.5015 0.6933
O 0.3067 0.9447 0.7501
O 0.4985 0.7501 0.9447
O 0.5015 0.2499 0.0553
O 0.6933 0.0553 0.2499
O 0.7501 0.4985 0.3067
O 0.9447 0.3067 0.4985

Summary:
The uncorrected formation energy is -1.225 eV/atom. The space group is Fddd.